(1)
The following is a DFT calculation (PBE) of a geometry-optimized Zr2Te2H structure.

Lattice parameters (Å, degrees): 3.7882 3.7882 32.7694 90.00 90.00 90.00
Space group I4_1/amd (No. 141, origin choice 2)
Unique sites:
Zr (0.0000, 0.2500, 0.0977) (multiplicity 8)
Te (0.0000, 0.2500, 0.1950) (multiplicity 8)
H (0.0000, 0.2500, 0.8750) (multiplicity 4)

- Volume: 470.3 Å³ per cell
- Total magnetization: 0.00 μB per formula unit
- Crystal system: tetragonal
- VASP energy: -120.3 eV per cell

***

(2)
The following is a DFT calculation (PBE) of a geometry-optimized Zr2TeH2 structure.

Lattice parameters (Å, degrees): 4.2438 4.2438 8.9860 90.00 90.00 90.00
Space group I4/mmm (No. 139)
Unique sites:
Zr (0.0000, 0.5000, 0.2500) (multiplicity 4)
Te (0.0000, 0.0000, 0.0000) (multiplicity 2)
H (0.0000, 0.0000, 0.3263) (multiplicity 4)

- Offset from the most stable computed form: 0 meV/atom
- Volume: 161.8 Å³ per cell
- Total magnetization: 0.00 μB per formula unit
- Crystal system: tetragonal